# 1
VTePd6 PBE-GGA relaxed; raw formation energy = -0.11 eV/atom; space group = No. 2; polymorph energy (0 for the lowest one) = 0.106 eV/atom
1.0
7.4259 0.0270 0.0305
3.7000 5.9773 -0.1444
3.7033 1.9226 2.9711
Pd V Te
6 1 1
Cartesian
2.6028 0.6108 0.3884 Pd
4.8653 4.5471 1.8380 Pd
9.9639 3.3798 1.0192 Pd
12.2264 7.3162 2.4688 Pd
9.6818 5.9273 2.1730 Pd
5.1474 1.9997 0.6842 Pd
7.4146 3.9635 1.4286 V
0.0000 0.0000 0.0000 Te

# 2
Pr2YAl6 PBE-GGA relaxed; energy relative to the elements = -0.4717 eV per atom; space group = No. 191; polymorph energy (0 for the lowest one) = 0.000 eV/atom
1.0
-2.6421 1.3972 -2.1982
-5.5031 -4.1513 3.9757
1.9180 7.3513 2.3671
Al Pr Y
6 2 1
Cartesian
-3.7196 2.8395 3.1444 Al
-2.5075 1.7577 1.0001 Al
-0.6862 3.1316 -0.3157 Al
-3.1423 -0.6753 0.2167 Al
-0.0378 5.6169 0.4845 Al
-5.0028 -2.0788 1.5608 Al
-0.5557 3.5171 2.9033 Pr
-5.6714 1.0801 1.2413 Pr
1.9180 7.3513 2.3671 Y

# 3
SbAs2Au PBE-GGA relaxed; raw formation energy = 0.07 eV/atom; space group = No. 6
1.0
-2.8517 -1.6020 1.9871
2.9883 -0.5084 3.8789
-0.2671 4.0823 2.9080
Au As Sb
1 2 1
Cartesian
1.3420 1.7438 3.3319 Au
-0.6980 0.0440 2.7194 As
0.0374 0.0394 0.0855 As
0.5488 1.9316 6.0305 Sb

# 4
BaTa2Mo PBE-GGA relaxed; energy relative to the elements = 1.2709 eV per atom; space group = No. 123; polymorph energy (0 for the lowest one) = 0.735 eV/atom
1.0
-4.6914 -1.8212 0.1986
1.7125 -4.1658 2.2538
-0.4166 1.3875 2.8811
Ta Ba Mo
2 1 1
Cartesian
-1.4895 -2.9935 1.2262 Ta
0.0000 0.0000 0.0000 Ta
-2.5540 -0.2169 1.5399 Ba
0.6480 -1.3892 2.5674 Mo

# 5
CdAgHg2 PBE-GGA relaxed; energy relative to the elements = 0.0659 eV per atom; space group = No. 10
1.0
4.2822 0.0000 0.0000
0.0000 3.3555 0.6503
0.0000 2.1220 6.5315
Cd Hg Ag
1 2 1
Cartesian
2.1411 4.1081 5.3863 Cd
0.0000 2.7420 3.5600 Hg
0.0000 3.3522 0.6811 Hg
2.1411 1.3694 1.7954 Ag

# 6
PrDy2Cu6 PBE-GGA relaxed; energy relative to the elements = -0.2348 eV per atom; space group = No. 191
1.0
3.6439 0.0000 0.0000
0.0000 6.3772 -3.6818
0.0000 0.0000 7.3637
Cu Dy Pr
6 2 1
Cartesian
1.8219 2.1439 1.2378 Cu
1.8219 4.2333 2.4441 Cu
1.8219 0.0000 4.8882 Cu
1.8219 0.0000 2.4755 Cu
1.8219 2.1439 -1.2378 Cu
1.8219 4.2333 4.9196 Cu
3.6439 4.2514 0.0000 Dy
0.0000 2.1257 3.6819 Dy
0.0000 0.0000 0.0000 Pr